LiAcHgAu after structural relaxation, computed with PBE-GGA.

Properties
energy of formation = -507 meV per atom
density of states at the Fermi level = 0.627 states/eV per atom
crystal system = cubic
spin magnetization = 0.00 μB per atom
offset from the most stable computed form = 0.25 eV/f.u.
symmetry = No. 216

a = 5.290 Å, b = 5.290 Å, c = 5.290 Å
α = 60.00°, β = 60.00°, γ = 60.00°
Positions (direct):
Li  0.000  0.000  0.000
Ac  0.500  0.500  0.500
Hg  0.750  0.750  0.750
Au  0.250  0.250  0.250

AcLuHgAu after structural relaxation, computed with PBE-GGA.

Properties
energy of formation = -563 meV per atom
density of states at the Fermi level = 0.807 states/eV per atom
crystal system = cubic
spin magnetization = 0.00 μB per atom
symmetry = No. 216

a = 5.384 Å, b = 5.384 Å, c = 5.384 Å
α = 60.00°, β = 60.00°, γ = 60.00°
Positions (direct):
Ac  0.000  0.000  0.000
Lu  0.500  0.500  0.500
Hg  0.250  0.250  0.250
Au  0.750  0.750  0.750

Ac2Mg4Hg3Au after structural relaxation, computed with PBE-GGA.

Properties
energy of formation = -399 meV per atom
density of states at the Fermi level = 0.971 states/eV per atom
crystal system = tetragonal
spin magnetization = 0.00 μB per atom
symmetry = No. 115

a = 4.883 Å, b = 4.883 Å, c = 11.019 Å
α = 90.00°, β = 90.00°, γ = 90.00°
Positions (direct):
Ac  0.000  0.500  0.234
Ac  0.500  0.000  0.766
Mg  0.000  0.000  0.500
Mg  0.000  0.500  0.881
Mg  0.500  0.000  0.119
Mg  0.500  0.500  0.500
Hg  0.000  0.000  0.000
Hg  0.000  0.500  0.635
Hg  0.500  0.000  0.365
Au  0.500  0.500  0.000

Ac4HgAuN after structural relaxation, computed with PBE-GGA.

Properties
raw formation energy = -0.680 eV/atom
density of states at the Fermi level = 0.986 states/eV per atom
crystal system = monoclinic
spin magnetization = 0.00 μB per atom
symmetry = No. 11

a = 7.442 Å, b = 7.700 Å, c = 8.827 Å
α = 90.00°, β = 106.65°, γ = 90.00°
Positions (direct):
Ac  0.011  0.010  0.263
Ac  0.011  0.490  0.263
Ac  0.425  0.250  0.583
Ac  0.431  0.250  0.132
Ac  0.569  0.750  0.868
Ac  0.575  0.750  0.417
Ac  0.989  0.510  0.737
Ac  0.989  0.990  0.737
Hg  0.235  0.750  0.062
Hg  0.765  0.250  0.938
Au  0.217  0.750  0.550
Au  0.783  0.250  0.450
N  0.238  0.250  0.309
N  0.762  0.750  0.691

Ac5Hg2AuN after structural relaxation, computed with PBE-GGA.

Properties
raw formation energy = -0.616 eV/atom
density of states at the Fermi level = 0.945 states/eV per atom
crystal system = orthorhombic
spin magnetization = 0.00 μB per atom
symmetry = No. 36

a = 10.370 Å, b = 10.370 Å, c = 13.806 Å
α = 90.00°, β = 90.00°, γ = 156.07°
Positions (direct):
Ac  0.004  0.996  0.500
Ac  0.276  0.724  0.718
Ac  0.315  0.685  0.032
Ac  0.353  0.647  0.415
Ac  0.477  0.523  0.762
Ac  0.523  0.477  0.262
Ac  0.647  0.353  0.915
Ac  0.685  0.315  0.532
Ac  0.724  0.276  0.218
Ac  0.996  0.004  0.000
Hg  0.109  0.891  0.702
Hg  0.143  0.857  0.357
Hg  0.857  0.143  0.857
Hg  0.891  0.109  0.202
Au  0.140  0.860  0.103
Au  0.860  0.140  0.603
N  0.473  0.527  0.419
N  0.527  0.473  0.919

AcHgAuO after structural relaxation, computed with PBE-GGA.

Properties
raw formation energy = -1.288 eV/atom
density of states at the Fermi level = 0.187 states/eV per atom
crystal system = tetragonal
spin magnetization = 0.00 μB per atom
symmetry = No. 107

a = 8.685 Å, b = 8.685 Å, c = 8.685 Å
α = 156.82°, β = 156.82°, γ = 33.01°
Positions (direct):
Ac  0.000  0.000  0.000
Hg  0.743  0.743  0.000
Au  0.355  0.355  0.000
O  0.539  0.539  0.000

Repeat the fifth record exactly.
Ac5Hg2AuN after structural relaxation, computed with PBE-GGA.

Properties
raw formation energy = -0.616 eV/atom
density of states at the Fermi level = 0.945 states/eV per atom
crystal system = orthorhombic
spin magnetization = 0.00 μB per atom
symmetry = No. 36

a = 10.370 Å, b = 10.370 Å, c = 13.806 Å
α = 90.00°, β = 90.00°, γ = 156.07°
Positions (direct):
Ac  0.004  0.996  0.500
Ac  0.276  0.724  0.718
Ac  0.315  0.685  0.032
Ac  0.353  0.647  0.415
Ac  0.477  0.523  0.762
Ac  0.523  0.477  0.262
Ac  0.647  0.353  0.915
Ac  0.685  0.315  0.532
Ac  0.724  0.276  0.218
Ac  0.996  0.004  0.000
Hg  0.109  0.891  0.702
Hg  0.143  0.857  0.357
Hg  0.857  0.143  0.857
Hg  0.891  0.109  0.202
Au  0.140  0.860  0.103
Au  0.860  0.140  0.603
N  0.473  0.527  0.419
N  0.527  0.473  0.919